(1)
Pr5Ho2In4: relaxed, PBE.

Properties
Crystal system: orthorhombic
E_tot (eV/atom): -3.68
Magnetic moment (μB per formula unit): 0.00

a = 3.461 Å, b = 8.965 Å, c = 15.363 Å
α = 106.96°, β = 96.47°, γ = 90.00°
Element x y z (fractional)
Pr1 0.500 0.000 0.000
Ho1 0.096 0.096 0.192
In1 0.300 0.300 0.600
Pr2 0.802 0.002 0.604
In2 0.700 0.700 0.400
In3 0.000 0.673 0.000
Pr3 0.198 0.998 0.396
Pr4 0.802 0.601 0.604
Pr5 0.198 0.399 0.396
Ho2 0.904 0.904 0.808
In4 0.000 0.327 0.000

(2)
Ba2LaUS6: relaxed, PBE.

Properties
Crystal system: monoclinic
ΔE_f (raw) (eV per atom): -1.890
Magnetic moment (μB per formula unit): 1.00

a = 7.312 Å, b = 7.640 Å, c = 10.514 Å
α = 90.00°, β = 90.27°, γ = 90.00°
Each line ends with the local moment (μB).
Element x y z (fractional)
S1 0.189 0.214 0.053  -0.03
S2 0.689 0.286 0.553  -0.03
S3 0.404 0.971 0.738  -0.03
S4 0.788 0.808 0.549  -0.03
S5 0.212 0.192 0.451  -0.03
S6 0.596 0.029 0.262  -0.03
S7 0.096 0.471 0.762  -0.03
La1 0.000 0.500 0.500  -0.01
La2 0.500 0.000 0.000  -0.01
U1 0.500 0.000 0.500  1.21
Ba1 0.981 0.065 0.750  0.00
Ba2 0.481 0.435 0.250  0.00
U2 0.000 0.500 0.000  1.21
Ba3 0.519 0.565 0.750  0.00
S8 0.311 0.714 0.447  -0.03
Ba4 0.019 0.935 0.250  0.00
S9 0.288 0.692 0.049  -0.03
S10 0.811 0.786 0.947  -0.03
S11 0.712 0.308 0.951  -0.03
S12 0.904 0.529 0.238  -0.03

(3)
AcTbThTl: relaxed, PBE.

Properties
Crystal system: cubic
E_tot (eV/atom): -4.53
Magnetic moment (μB per formula unit): 0.00

a = 5.661 Å, b = 5.661 Å, c = 5.661 Å
α = 60.00°, β = 60.00°, γ = 60.00°
Element x y z (fractional)
Tb1 0.750 0.750 0.750
Ac1 0.500 0.500 0.500
Th1 0.250 0.250 0.250
Tl1 0.000 0.000 0.000

(4)
LiTc2Ru: relaxed, PBE.

Properties
Crystal system: tetragonal
ΔE to the lowest computed polymorph (eV/f.u.): 0.37
Magnetic moment (μB per formula unit): 0.00

a = 4.889 Å, b = 4.889 Å, c = 4.889 Å
α = 136.55°, β = 136.55°, γ = 63.13°
Element x y z (fractional)
Tc1 0.000 0.000 0.000
Li1 0.250 0.750 0.500
Ru1 0.750 0.250 0.500
Tc2 0.500 0.500 0.000

(5)
TbDy2Ho4: relaxed, PBE.

Properties
Crystal system: monoclinic
ΔE to the lowest computed polymorph (eV/f.u.): 0.94
Magnetic moment (μB per formula unit): 0.00

a = 5.999 Å, b = 6.549 Å, c = 11.565 Å
α = 90.00°, β = 105.72°, γ = 90.00°
Element x y z (fractional)
Tb1 0.169 0.750 0.141
Dy1 0.712 0.750 0.555
Dy2 0.607 0.750 0.006
Dy3 0.288 0.250 0.445
Ho1 0.855 0.250 0.575
Ho2 0.636 0.006 0.290
Ho3 0.364 0.994 0.710
Ho4 0.145 0.750 0.425
Ho5 0.636 0.494 0.290
Ho6 0.012 0.250 0.160
Ho7 0.364 0.506 0.710
Tb2 0.831 0.250 0.859
Dy4 0.393 0.250 0.994
Ho8 0.988 0.750 0.840

(6)
GaSn2Cl6: relaxed, PBE.

Properties
Crystal system: monoclinic
ΔE_f (raw) (eV per atom): -0.845
Magnetic moment (μB per formula unit): 0.00

a = 10.311 Å, b = 9.207 Å, c = 9.207 Å
α = 77.66°, β = 65.89°, γ = 65.89°
Element x y z (fractional)
Cl1 0.473 0.367 0.368
Ga1 0.250 0.072 0.928
Sn1 0.252 0.614 0.718
Cl2 0.103 0.790 0.943
Sn2 0.748 0.386 0.282
Cl3 0.527 0.633 0.632
Cl4 0.603 0.943 0.790
Sn3 0.752 0.718 0.614
Sn4 0.248 0.282 0.386
Cl5 0.287 0.362 0.889
Cl6 0.897 0.210 0.057
Cl7 0.713 0.638 0.111
Cl8 0.397 0.057 0.210
Cl9 0.213 0.111 0.638
Cl10 0.973 0.368 0.367
Cl11 0.787 0.889 0.362
Cl12 0.027 0.632 0.633
Ga2 0.750 0.928 0.072

(7)
Nd2Cd2Hg: relaxed, PBE.

Properties
Crystal system: monoclinic
ΔE to the lowest computed polymorph (eV/f.u.): 0.69
Magnetic moment (μB per formula unit): 0.00

a = 7.964 Å, b = 7.964 Å, c = 6.024 Å
α = 47.12°, β = 47.12°, γ = 33.61°
Element x y z (fractional)
Cd1 0.415 0.415 0.467
Nd1 0.708 0.708 0.809
Hg1 0.000 0.000 0.000
Cd2 0.585 0.585 0.533
Nd2 0.292 0.292 0.191

(8)
SrTbTlHg: relaxed, PBE.

Properties
Crystal system: cubic
ΔE to the lowest computed polymorph (eV/f.u.): 0.17
Magnetic moment (μB per formula unit): 0.00

a = 5.521 Å, b = 5.521 Å, c = 5.521 Å
α = 60.00°, β = 60.00°, γ = 60.00°
Element x y z (fractional)
Sr1 0.000 0.000 0.000
Tb1 0.500 0.500 0.500
Hg1 0.750 0.750 0.750
Tl1 0.250 0.250 0.250

(9)
RbMo2Ir: relaxed, PBE.

Properties
Crystal system: cubic
ΔE to the lowest computed polymorph (eV/f.u.): 0.00
Magnetic moment (μB per formula unit): 0.00

a = 4.623 Å, b = 4.623 Å, c = 4.623 Å
α = 60.00°, β = 60.00°, γ = 60.00°
Element x y z (fractional)
Rb1 0.000 0.000 0.000
Mo1 0.250 0.250 0.250
Mo2 0.750 0.750 0.750
Ir1 0.500 0.500 0.500

(10)
Ac3AlGa2Pd6: relaxed, PBE.

Properties
Crystal system: trigonal
E_tot (eV/atom): -5.17
Magnetic moment (μB per formula unit): 0.00

a = 5.958 Å, b = 5.958 Å, c = 8.833 Å
α = 90.00°, β = 90.00°, γ = 120.00°
Element x y z (fractional)
Ac1 0.000 0.000 0.000
Al1 0.000 0.000 0.500
Ga1 0.667 0.333 0.954
Ac2 0.333 0.667 0.639
Pd1 0.653 0.827 0.292
Ac3 0.667 0.333 0.361
Pd2 0.173 0.347 0.292
Pd3 0.827 0.653 0.708
Pd4 0.347 0.173 0.708
Ga2 0.333 0.667 0.046
Pd5 0.827 0.173 0.708
Pd6 0.173 0.827 0.292

(11)
BaZnRu2: relaxed, PBE.

Properties
Crystal system: orthorhombic
E_tot (eV/atom): -4.58
Magnetic moment (μB per formula unit): 0.00

a = 3.048 Å, b = 3.048 Å, c = 8.771 Å
α = 90.00°, β = 90.00°, γ = 112.20°
Element x y z (fractional)
Zn1 0.500 0.500 0.250
Ru1 0.000 0.000 0.035
Ru2 0.000 0.000 0.465
Ba1 0.500 0.500 0.750

(12)
TmB2F8: relaxed, PBE.

Properties
Crystal system: monoclinic
ΔE_f (raw) (eV per atom): -2.902
Magnetic moment (μB per formula unit): 0.95

a = 5.374 Å, b = 6.033 Å, c = 6.033 Å
α = 57.14°, β = 78.46°, γ = 78.46°
Each line ends with the local moment (μB).
Element x y z (fractional)
F1 0.298 0.318 0.318  0.01
B1 0.659 0.813 0.813  0.01
F2 0.385 0.870 0.870  0.00
Tm1 0.000 0.000 0.000  0.60
B2 0.341 0.187 0.187  0.01
F3 0.770 0.672 0.059  0.00
F4 0.702 0.682 0.682  0.01
F5 0.770 0.059 0.672  0.00
F6 0.230 0.328 0.941  0.00
F7 0.230 0.941 0.328  0.00
F8 0.615 0.130 0.130  0.00

For each record above, in turn, the calculated Fermi-level density of states values are 15.4; 0.4; 5.0; 5.3; 12.0; 2.9; 4.0; 2.4; 4.4; 3.5; 5.0; 1.2 states/eV/f.u..